1.
HgN2ClF | PBE | optimized geometry

Computed properties:
Its raw formation energy is 1.63 eV per atom. The total DFT energy (no corrections) is -2.51 eV per atom. The symmetry is P4/mmm (123). The value obtained for the offset from the most stable computed form is 43.2 meV/atom.

a = 3.677 Å, b = 3.677 Å, c = 5.536 Å
α = 90.00°, β = 90.00°, γ = 90.00°
Fractional positions:
N 0.500 0.000 0.000
N 0.000 0.500 0.000
F 0.000 0.000 0.500
Cl 0.000 0.000 0.000
Hg 0.500 0.500 0.500

2.
HgNClF2 | PBE | optimized geometry

Computed properties:
Its raw formation energy is 0.48 eV per atom. The total DFT energy (no corrections) is -2.36 eV per atom. The symmetry is P4/mmm (123). The value obtained for the offset from the most stable computed form is 23.4 meV/atom.

a = 4.482 Å, b = 4.482 Å, c = 4.388 Å
α = 90.00°, β = 90.00°, γ = 90.00°
Fractional positions:
N 0.000 0.000 0.500
Cl 0.500 0.500 0.500
F 0.000 0.500 0.000
F 0.500 0.000 0.000
Hg 0.000 0.000 0.000

3.
HgN2ClF | PBE | optimized geometry

Computed properties:
Its raw formation energy is 1.81 eV per atom. The total DFT energy (no corrections) is -2.32 eV per atom. The symmetry is P4/mmm (123). The value obtained for the offset from the most stable computed form is 230.5 meV/atom.

a = 4.041 Å, b = 6.616 Å, c = 4.041 Å
α = 90.00°, β = 90.00°, γ = 90.00°
Fractional positions:
F 0.000 0.000 0.000
N 0.500 0.000 0.000
N 0.000 0.000 0.500
Hg 0.500 0.500 0.500
Cl 0.000 0.500 0.000

4.
HgNClF2 | PBE | optimized geometry

Computed properties:
Its raw formation energy is 0.46 eV per atom. The total DFT energy (no corrections) is -2.38 eV per atom. The symmetry is P4/mmm (123). The value obtained for the offset from the most stable computed form is 0.0 meV/atom.

a = 4.951 Å, b = 4.951 Å, c = 3.315 Å
α = 90.00°, β = 90.00°, γ = 90.00°
Fractional positions:
Cl 0.000 0.000 0.000
N 0.000 0.000 0.500
Hg 0.500 0.500 0.500
F 0.000 0.500 0.000
F 0.500 0.000 0.000

5.
HgN2ClF | PBE | optimized geometry

Computed properties:
Its raw formation energy is 1.58 eV per atom. The total DFT energy (no corrections) is -2.55 eV per atom. The symmetry is P4/mmm (123). The value obtained for the offset from the most stable computed form is 0.0 meV/atom.

a = 4.456 Å, b = 4.456 Å, c = 4.407 Å
α = 90.00°, β = 90.00°, γ = 90.00°
Fractional positions:
Cl 0.500 0.500 0.500
N 0.500 0.000 0.000
N 0.000 0.500 0.000
F 0.000 0.000 0.500
Hg 0.000 0.000 0.000

6.
Na2Hg2Cl2F5 | PBE | optimized geometry

Computed properties:
Its raw formation energy is -1.50 eV per atom. The total DFT energy (no corrections) is -2.98 eV per atom. The symmetry is I4/mmm (139).

a = 4.747 Å, b = 4.747 Å, c = 10.324 Å
α = 103.29°, β = 103.29°, γ = 90.00°
Fractional positions:
Na 0.392 0.392 0.784
Na 0.608 0.608 0.216
Cl 0.239 0.239 0.479
Cl 0.761 0.761 0.521
F 0.896 0.396 0.793
F 0.000 0.000 0.000
F 0.604 0.104 0.207
F 0.104 0.604 0.207
F 0.396 0.896 0.793
Hg 0.113 0.113 0.226
Hg 0.887 0.887 0.774

7.
Na2HgCl2F2 | PBE | optimized geometry

Computed properties:
Its raw formation energy is -1.75 eV per atom. The total DFT energy (no corrections) is -3.23 eV per atom. The symmetry is C2/m (12).

a = 3.865 Å, b = 7.267 Å, c = 6.671 Å
α = 56.25°, β = 73.16°, γ = 74.58°
Fractional positions:
Cl 0.407 0.837 0.350
Cl 0.593 0.163 0.650
Na 0.230 0.311 0.228
Na 0.770 0.689 0.772
Hg 0.000 0.000 0.000
F 0.175 0.685 0.965
F 0.825 0.315 0.035

8.
NaHgClF2 | PBE | optimized geometry

Computed properties:
Its raw formation energy is -1.67 eV per atom. The total DFT energy (no corrections) is -3.11 eV per atom. The symmetry is P2_1/m (11).

a = 4.425 Å, b = 6.298 Å, c = 7.721 Å
α = 72.46°, β = 90.00°, γ = 90.00°
Fractional positions:
Cl 0.750 0.498 0.212
Cl 0.250 0.502 0.788
F 0.750 0.014 0.884
F 0.750 0.931 0.387
F 0.250 0.986 0.116
F 0.250 0.069 0.613
Hg 0.750 0.191 0.088
Hg 0.250 0.809 0.912
Na 0.250 0.843 0.429
Na 0.750 0.157 0.571

9.
NbHg2ClF | PBE | optimized geometry

Computed properties:
Its raw formation energy is 0.36 eV per atom. The total DFT energy (no corrections) is -2.52 eV per atom. The symmetry is P4/mmm (123).

a = 4.644 Å, b = 5.399 Å, c = 4.644 Å
α = 90.00°, β = 90.00°, γ = 90.00°
Fractional positions:
Hg 0.500 0.000 0.000
Hg 0.000 0.000 0.500
Nb 0.500 0.500 0.500
Cl 0.000 0.500 0.000
F 0.000 0.000 0.000

10.
NpHgCl2F6 | PBE | optimized geometry

Computed properties:
Its raw formation energy is -1.94 eV per atom. The total DFT energy (no corrections) is -4.76 eV per atom. The symmetry is Fm-3m (225).

a = 6.366 Å, b = 6.366 Å, c = 6.367 Å
α = 60.00°, β = 60.00°, γ = 90.01°
Fractional positions:
F 0.732 0.268 0.000
F 0.268 0.268 0.464
F 0.268 0.732 0.000
F 0.268 0.268 0.000
F 0.732 0.732 0.536
F 0.732 0.732 0.000
Np 0.500 0.500 0.000
Hg 0.000 0.000 0.000
Cl 0.250 0.750 0.500
Cl 0.750 0.250 0.500

Which of these has the highest raw formation energy? number 3

Among the records above, which one has the highest total DFT energy (no corrections)? number 3

Which value of raw formation energy does entry 6 give? -1.50 eV per atom